Entry 1:
An optimized crystal structure of CsHgB, computed with PBE-GGA.

For the relative energy among the computed polymorphs, the calculation gives 0.000 eV per atom. The calculation puts the total energy at -1.299 eV per atom.

The structure belongs to space group F-43m (No. 216); the cell edges are 7.356, 7.356 and 7.356 Å and the angles 90.00°, 90.00° and 90.00°. The distinct sites, in fractional coordinates, are Cs at (0.000, 0.000, 0.000), Hg at (0.000, 0.000, 0.500) and B at (0.250, 0.250, 0.250).


Entry 2:
An optimized crystal structure of Gd2H, computed with PBE-GGA.

The calculation puts the total energy at -2.895 eV per atom. The calculation puts the spin magnetization at 0.346 μB per atom.

The structure belongs to space group Fd-3m (No. 227, origin choice 2); the cell edges are 9.037, 9.037 and 9.037 Å and the angles 90.00°, 90.00° and 90.00°. The distinct sites, in fractional coordinates, are Gd at (0.000, 0.000, 0.000) and H at (0.125, 0.125, 0.625).


Entry 3:
An optimized crystal structure of AlZnNO, computed with PBE-GGA.

For the relative energy among the computed polymorphs, the calculation gives 0.055 eV per atom. The calculation puts the total energy at -5.996 eV per atom.

The structure belongs to space group Pmc2_1 (No. 26); the cell edges are 3.166, 5.458 and 5.167 Å and the angles 90.00°, 90.00° and 90.00°. The distinct sites, in fractional coordinates, are Al at (0.000, 0.156, 0.000), Zn at (0.500, 0.320, 0.487), N at (0.000, 0.153, 0.356) and O at (0.500, 0.310, 0.897).


Entry 4:
An optimized crystal structure of AlHg5O4, computed with PBE-GGA.

For the relative energy among the computed polymorphs, the calculation gives 0.011 eV per atom. The calculation puts the total energy at -3.285 eV per atom.

The structure belongs to space group P1 (No. 1); the cell edges are 3.205, 5.900 and 9.602 Å and the angles 94.82°, 90.62° and 104.05°. The distinct sites, in fractional coordinates, are Al at (0.000, 0.000, 0.000), Hg at (0.208, 0.469, 0.827), Hg at (0.498, 0.039, 0.650), Hg at (0.521, 0.020, 0.342), Hg at (0.677, 0.497, 0.472), Hg at (0.751, 0.488, 0.193), O at (0.149, 0.320, 0.021), O at (0.253, 0.618, 0.636), O at (0.462, 0.920, 0.922) and O at (0.955, 0.889, 0.167).


Please write out number 1 again, unchanged.
An optimized crystal structure of CsHgB, computed with PBE-GGA.

For the relative energy among the computed polymorphs, the calculation gives 0.000 eV per atom. The calculation puts the total energy at -1.299 eV per atom.

The structure belongs to space group F-43m (No. 216); the cell edges are 7.356, 7.356 and 7.356 Å and the angles 90.00°, 90.00° and 90.00°. The distinct sites, in fractional coordinates, are Cs at (0.000, 0.000, 0.000), Hg at (0.000, 0.000, 0.500) and B at (0.250, 0.250, 0.250).